No. 1
4
Lattice="-2.8171 -4.1730 -1.0091 -0.6014 -3.6216 3.5903 -4.5613 -0.6297 2.2729" Properties=species:S:1:pos:R:3 comment="Pm2BeAu | Alexandria | PBE | optimized geometry" spacegroup="Fm-3m, No. 225" mass_density_g_cm3=8.60 n_ef_per_ev_cell=2.8 delta_e_f_kj_per_mol_fu=-96 vol_a3_per_fu=95.7 relative_energy_mev_per_atom=55 pbc="T T T"
Pm -1.9950 -2.1061 1.2135
Pm -5.9849 -6.3182 3.6406
Au 0.0000 0.0000 0.0000
Be -3.9899 -4.2121 2.4271

***

No. 2
4
Lattice="3.6354 0.0000 0.0000 0.0000 3.6354 0.0000 0.0000 0.0000 7.0561" Properties=species:S:1:pos:R:3 comment="Pm2BeAu | Alexandria | PBE | optimized geometry" spacegroup="P4/mmm, No. 123" mass_density_g_cm3=8.83 n_ef_per_ev_cell=2.5 delta_e_f_kj_per_mol_fu=-117 vol_a3_per_fu=93.3 relative_energy_mev_per_atom=0 pbc="T T T"
Be 1.8177 1.8177 0.0000
Au 1.8177 1.8177 3.5281
Pm 0.0000 0.0000 1.6624
Pm 0.0000 0.0000 5.3937

***

No. 3
10
Lattice="4.2980 0.0000 0.0000 0.0000 4.2980 0.0000 0.0000 0.0000 9.2965" Properties=species:S:1:pos:R:3 comment="PmBe2Au2 | Alexandria | PBE | optimized geometry" spacegroup="P4/nmm, No. 129" mass_density_g_cm3=10.77 n_ef_per_ev_cell=6.1 delta_e_f_kj_per_mol_fu=-219 vol_a3_per_fu=85.9 pbc="T T T"
Au 2.1490 0.0000 5.7760
Au 0.0000 0.0000 0.0000
Au 0.0000 2.1490 3.5205
Au 2.1490 2.1490 0.0000
Pm 2.1490 0.0000 2.3892
Pm 0.0000 2.1490 6.9073
Be 0.0000 0.0000 4.6482
Be 2.1490 0.0000 8.1557
Be 0.0000 2.1490 1.1408
Be 2.1490 2.1490 4.6482

***

Copy entry 1 word for word.
4
Lattice="-2.8171 -4.1730 -1.0091 -0.6014 -3.6216 3.5903 -4.5613 -0.6297 2.2729" Properties=species:S:1:pos:R:3 comment="Pm2BeAu | Alexandria | PBE | optimized geometry" spacegroup="Fm-3m, No. 225" mass_density_g_cm3=8.60 n_ef_per_ev_cell=2.8 delta_e_f_kj_per_mol_fu=-96 vol_a3_per_fu=95.7 relative_energy_mev_per_atom=55 pbc="T T T"
Pm -1.9950 -2.1061 1.2135
Pm -5.9849 -6.3182 3.6406
Au 0.0000 0.0000 0.0000
Be -3.9899 -4.2121 2.4271